## SrLiMoO4 (PBE+U)

Data for an optimized crystal structure of SrLiMoO4.

It has space group P2_1/m (No. 11), with a = 6.100 Å, b = 5.800 Å, c = 6.829 Å, α = 90.00°, β = 109.37° and γ = 90.00°. The distinct sites, in fractional coordinates, are Sr at (0.241, 0.250, 0.477), Li at (0.335, 0.250, 0.071), Mo at (0.213, 0.750, 0.168), O at (0.011, 0.250, 0.095), O at (0.053, 0.750, 0.359) and O at (0.435, 0.513, 0.247).

For the total energy, the calculation gives -89.9 eV for the cell shown.